A geometry-optimized FeSbOs2 structure. Source: Alexandria, functional PBEsol.

a = 4.3789 Å, b = 4.3789 Å, c = 4.3789 Å
α = 60.00°, β = 60.00°, γ = 60.00°
Last column: nearest neighbours and their distance in Å.
Atoms (fractional coordinates):
Fe (0.0000, 0.0000, 0.0000)  4 Sb 2.68, 4 Os 2.68
Sb (0.7500, 0.7500, 0.7500)  4 Fe 2.68, 4 Os 2.68
Os (0.2500, 0.2500, 0.2500)  4 Os 2.68, 4 Fe 2.68
Os (0.5000, 0.5000, 0.5000)  4 Sb 2.68, 4 Os 2.68

* ΔE_f (raw): 0.6371 eV/atom
* volume: 59.4 Å³/cell
* total moment: 2.39 μB/f.u.
* D(E_F): 3.73 states/eV/cell